! PrNd4Y3S8 (GGA-PBE, optimized geometry); values from VASP
&SYSTEM
  ibrav = 0, nat = 16, ntyp = 4
/
ATOMIC_SPECIES
Nd 144.24 Nd.upf
S 32.06 S.upf
Y 88.91 Y.upf
Pr 140.91 Pr.upf
CELL_PARAMETERS angstrom
8.0168 0.0000 0.0000
0.0000 8.0652 0.0283
-4.0084 -4.0045 5.6717
ATOMIC_POSITIONS crystal
Nd 0.0000 0.0000 0.0000
Nd 0.0000 0.0000 0.5000
Nd 0.5000 0.0000 0.5000
Nd 0.5000 0.0000 0.0000
S 0.2550 0.2651 0.5101
S 0.7386 0.7405 0.9895
S 0.2509 0.7405 0.5019
S 0.2509 0.7405 0.9895
S 0.7491 0.2595 0.4981
S 0.7450 0.7349 0.4899
S 0.2614 0.2595 0.0105
S 0.7491 0.2595 0.0105
Y 0.5000 0.5000 0.5000
Y 0.5000 0.5000 0.0000
Y 0.0000 0.5000 0.5000
Pr 0.0000 0.5000 0.0000
! * theoretical density: 5.606 Mg/m³
! * calculated volume: 22.98 Å³ per atom
! * electronic total energy: -6.7749 eV per atom
! * total moment: 0.00 μB per formula unit